# Ho2MgFe2 GGA-PBE optimized geometry
data_Ho2MgFe2
_chemical_formula_sum 'Ho4 Mg2 Fe4'
_symmetry_space_group_name_H-M 'C m m m'
_symmetry_Int_Tables_number 65
_symmetry_space_group_name_Hall '-C 2 2'
_cell_length_a 3.773
_cell_length_b 13.545
_cell_length_c 4.124
_cell_angle_alpha 90.00
_cell_angle_beta 90.00
_cell_angle_gamma 90.00
loop_
_atom_site_label
_atom_site_type_symbol
_atom_site_fract_x
_atom_site_fract_y
_atom_site_fract_z
_atom_site_occupancy
Ho1 Ho 0.000 0.141 0.000 1
Mg1 Mg 0.000 0.500 0.500 1
Fe1 Fe 0.000 0.286 0.500 1
# theoretical density: 7.34 g cm⁻³
# crystal system: orthorhombic
# uncorrected energy: -55.84 eV per cell
# formation energy: -0.049 eV per atom


# Ho3MgFe GGA-PBE optimized geometry
data_Ho3MgFe
_chemical_formula_sum 'Ho12 Mg4 Fe4'
_symmetry_space_group_name_H-M 'P n m a'
_symmetry_Int_Tables_number 62
_cell_length_a 9.007
_cell_length_b 3.529
_cell_length_c 16.305
_cell_angle_alpha 90.00
_cell_angle_beta 90.00
_cell_angle_gamma 90.00
loop_
_symmetry_equiv_pos_as_xyz
'x,y,z'
'-x,-y,-z'
'-x+1/2,-y,z+1/2'
'x+1/2,y,-z+1/2'
'x+1/2,-y+1/2,-z+1/2'
'-x+1/2,y+1/2,z+1/2'
'-x,y+1/2,-z'
'x,-y+1/2,z'
loop_
_atom_site_label
_atom_site_type_symbol
_atom_site_fract_x
_atom_site_fract_y
_atom_site_fract_z
_atom_site_occupancy
Ho1 Ho 0.083 0.250 0.147 1
Ho2 Ho 0.205 0.250 0.498 1
Ho3 Ho 0.237 0.250 0.812 1
Mg1 Mg 0.051 0.750 0.660 1
Fe1 Fe 0.051 0.250 0.965 1
# theoretical density: 7.37 g cm⁻³
# crystal system: orthorhombic
# uncorrected energy: -95.41 eV per cell
# energy above the most stable polymorph in this dataset: 0.0000 eV/atom
# formation energy: -0.012 eV per atom


# HoMn3Fe3 GGA-PBE optimized geometry
data_HoMn3Fe3
_chemical_formula_sum 'Ho2 Mn6 Fe6'
_symmetry_space_group_name_H-M 'P m -3 n'
_symmetry_Int_Tables_number 223
_symmetry_space_group_name_Hall '-P 4n 2 3'
_cell_length_a 6.049
_cell_length_b 6.049
_cell_length_c 6.049
_cell_angle_alpha 90.00
_cell_angle_beta 90.00
_cell_angle_gamma 90.00
loop_
_atom_site_label
_atom_site_type_symbol
_atom_site_fract_x
_atom_site_fract_y
_atom_site_fract_z
_atom_site_occupancy
Ho1 Ho 0.000 0.000 0.000 1
Mn1 Mn 0.000 0.250 0.500 1
Fe1 Fe 0.000 0.500 0.250 1
# theoretical density: 7.46 g cm⁻³
# crystal system: cubic
# uncorrected energy: -106.50 eV per cell
# formation energy: 0.604 eV per atom


# HoMn2Fe9 GGA-PBE optimized geometry
data_HoMn2Fe9
_chemical_formula_sum 'Ho3 Mn6 Fe27'
_symmetry_space_group_name_H-M 'R -3 m'
_symmetry_Int_Tables_number 166
_symmetry_space_group_name_Hall '-R 3 2"'
_cell_length_a 4.8251
_cell_length_b 4.8251
_cell_length_c 23.2109
_cell_angle_alpha 90.00
_cell_angle_beta 90.00
_cell_angle_gamma 120.00
loop_
_atom_site_label
_atom_site_type_symbol
_atom_site_fract_x
_atom_site_fract_y
_atom_site_fract_z
_atom_site_occupancy
Ho1 Ho 0.0000 0.0000 0.0000 1
Mn1 Mn 0.0000 0.0000 0.1466 1
Fe1 Fe 0.0000 0.0000 0.3335 1
Fe2 Fe 0.0000 0.0000 0.5000 1
Fe3 Fe 0.0051 0.5025 0.9128 1
# theoretical density: 8.28 g cm⁻³
# crystal system: trigonal
# uncorrected energy: -294.34 eV per cell
# formation energy: 0.081 eV per atom


# HoMnFe2 GGA-PBE optimized geometry
data_HoMnFe2
_chemical_formula_sum 'Ho3 Mn3 Fe6'
_symmetry_space_group_name_H-M 'R -3 m'
_symmetry_Int_Tables_number 166
_symmetry_space_group_name_Hall '-R 3 2"'
_cell_length_a 3.9571
_cell_length_b 3.9571
_cell_length_c 14.5914
_cell_angle_alpha 90.00
_cell_angle_beta 90.00
_cell_angle_gamma 120.00
loop_
_atom_site_label
_atom_site_type_symbol
_atom_site_fract_x
_atom_site_fract_y
_atom_site_fract_z
_atom_site_occupancy
Ho1 Ho 0.0000 0.0000 0.0000 1
Mn1 Mn 0.0000 0.0000 0.5000 1
Fe1 Fe 0.0000 0.0000 0.1950 1
# theoretical density: 8.35 g cm⁻³
# crystal system: trigonal
# uncorrected energy: -90.59 eV per cell
# energy above the most stable polymorph in this dataset: 0.0000 eV/atom
# formation energy: 0.119 eV per atom


# HoMnFe GGA-PBE optimized geometry
data_HoMnFe
_chemical_formula_sum 'Ho4 Mn4 Fe4'
_symmetry_space_group_name_H-M 'P 41 21 2'
_symmetry_Int_Tables_number 92
_cell_length_a 6.391
_cell_length_b 6.391
_cell_length_c 5.600
_cell_angle_alpha 90.00
_cell_angle_beta 90.00
_cell_angle_gamma 90.00
loop_
_symmetry_equiv_pos_as_xyz
'x,y,z'
'-y+1/2,x+1/2,z+1/4'
'-x,-y,z+1/2'
'y+1/2,-x+1/2,z+3/4'
'x+1/2,-y+1/2,-z+3/4'
'-y,-x,-z+1/2'
'-x+1/2,y+1/2,-z+1/4'
'y,x,-z'
loop_
_atom_site_label
_atom_site_type_symbol
_atom_site_fract_x
_atom_site_fract_y
_atom_site_fract_z
_atom_site_occupancy
Ho1 Ho 0.239 0.239 0.000 1
Mn1 Mn 0.186 0.814 0.750 1
Fe1 Fe 0.071 0.071 0.500 1
# theoretical density: 8.01 g cm⁻³
# crystal system: tetragonal
# uncorrected energy: -84.05 eV per cell
# energy above the most stable polymorph in this dataset: 0.3842 eV/atom
# formation energy: 0.399 eV per atom


# HoMnFe2 GGA-PBE optimized geometry
data_HoMnFe2
_chemical_formula_sum 'Ho4 Mn4 Fe8'
_symmetry_space_group_name_H-M 'P 1 2/c 1'
_symmetry_Int_Tables_number 13
_cell_length_a 6.129
_cell_length_b 6.128
_cell_length_c 8.420
_cell_angle_alpha 90.00
_cell_angle_beta 111.40
_cell_angle_gamma 90.00
loop_
_symmetry_equiv_pos_as_xyz
'x,y,z'
'-x,-y,-z'
'-x,y,-z+1/2'
'x,-y,z+1/2'
loop_
_atom_site_label
_atom_site_type_symbol
_atom_site_fract_x
_atom_site_fract_y
_atom_site_fract_z
_atom_site_occupancy
Ho1 Ho 0.000 0.125 0.250 1
Ho2 Ho 0.500 0.374 0.750 1
Mn1 Mn 0.000 0.374 0.750 1
Mn2 Mn 0.500 0.126 0.250 1
Fe1 Fe 0.000 0.500 0.000 1
Fe2 Fe 0.251 0.252 0.004 1
Fe3 Fe 0.500 0.000 0.000 1
# theoretical density: 7.48 g cm⁻³
# crystal system: monoclinic
# uncorrected energy: -113.41 eV per cell
# energy above the most stable polymorph in this dataset: 0.4609 eV/atom
# formation energy: 0.580 eV per atom


# HoMnFe GGA-PBE optimized geometry
data_HoMnFe
_chemical_formula_sum 'Ho1 Mn1 Fe1'
_symmetry_space_group_name_H-M 'P 3 m 1'
_symmetry_Int_Tables_number 156
_cell_length_a 3.7192
_cell_length_b 3.7192
_cell_length_c 4.3564
_cell_angle_alpha 90.00
_cell_angle_beta 90.00
_cell_angle_gamma 120.00
loop_
_symmetry_equiv_pos_as_xyz
'x,y,z'
'-y,x-y,z'
'-x+y,-x,z'
'-y,-x,z'
'-x+y,y,z'
'x,x-y,z'
loop_
_atom_site_label
_atom_site_type_symbol
_atom_site_fract_x
_atom_site_fract_y
_atom_site_fract_z
_atom_site_occupancy
Ho1 Ho 0.0000 0.0000 0.0000 1
Mn1 Mn 0.6667 0.3333 0.4995 1
Fe1 Fe 0.3333 0.6667 0.5007 1
# theoretical density: 8.77 g cm⁻³
# crystal system: trigonal
# uncorrected energy: -22.09 eV per cell
# energy above the most stable polymorph in this dataset: 0.0261 eV/atom
# formation energy: 0.041 eV per atom


The lowest theoretical density belongs to which entry? Ho2MgFe2


Repeat the seventh record exactly.
# HoMnFe2 GGA-PBE optimized geometry
data_HoMnFe2
_chemical_formula_sum 'Ho4 Mn4 Fe8'
_symmetry_space_group_name_H-M 'P 1 2/c 1'
_symmetry_Int_Tables_number 13
_cell_length_a 6.129
_cell_length_b 6.128
_cell_length_c 8.420
_cell_angle_alpha 90.00
_cell_angle_beta 111.40
_cell_angle_gamma 90.00
loop_
_symmetry_equiv_pos_as_xyz
'x,y,z'
'-x,-y,-z'
'-x,y,-z+1/2'
'x,-y,z+1/2'
loop_
_atom_site_label
_atom_site_type_symbol
_atom_site_fract_x
_atom_site_fract_y
_atom_site_fract_z
_atom_site_occupancy
Ho1 Ho 0.000 0.125 0.250 1
Ho2 Ho 0.500 0.374 0.750 1
Mn1 Mn 0.000 0.374 0.750 1
Mn2 Mn 0.500 0.126 0.250 1
Fe1 Fe 0.000 0.500 0.000 1
Fe2 Fe 0.251 0.252 0.004 1
Fe3 Fe 0.500 0.000 0.000 1
# theoretical density: 7.48 g cm⁻³
# crystal system: monoclinic
# uncorrected energy: -113.41 eV per cell
# energy above the most stable polymorph in this dataset: 0.4609 eV/atom
# formation energy: 0.580 eV per atom


Look up the formation energy of the fifth one. 0.119 eV per atom